Computed, not measured: crystalline Pm2ErPd at its relaxed geometry at the PBE-GGA level of DFT.

Results
energy relative to the elements = -0.24 eV/atom
space group = No. 160
energy above the most stable polymorph in this dataset = 18.79 kJ/mol of atoms
final energy = -5.05 eV per atom
N(E_F) = 4.88 states/eV/f.u.
size of the total moment = 0.02 μB per cell

abc: 9.8760 9.8760 9.8760
angles: 22.09 22.09 22.09
Last column: nearest neighbours and their distance in Å.
Fractional coordinates of all 4 atoms:
Pm  0.0000  0.0000  0.0000  3 Pd 2.93
Pm  0.1988  0.1988  0.1988  3 Pd 2.92
Er  0.7662  0.7662  0.7662  6 Pm 3.61, 6 Er 3.78
Pd  0.5992  0.5992  0.5992  6 Pm 2.92-2.93